This record from the Alexandria database describes a relaxed structure of NiGeOF2. The functional is PBE with a Hubbard U.

a = 4.1630 Å, b = 4.1630 Å, c = 3.8132 Å
α = 90.00°, β = 90.00°, γ = 90.00°
Last column: magnetic moment on the atom in μB.
Sites, in units of the cell vectors:
F 0.5000 0.0000 0.0000  0.00
F 0.0000 0.5000 0.0000  0.00
O 0.0000 0.0000 0.5000  0.01
Ni 0.5000 0.5000 0.5000  0.97
Ge 0.0000 0.0000 0.0000  0.00

Results
The value obtained for the energy is -21.17 eV per cell.